(1)
An optimized crystal structure of Pm5GeBi2. Source: Alexandria via LeMat-Bulk, functional PBE.

Values from the calculation:
- space-group type = Cmcm (63)
- energy (eV/atom) = -4.90
- formation energy (eV per formula unit) = -3.07

a b c (Å): 6.205 7.260 14.328
angles (deg): 90.00 90.00 115.30
Fractional coordinates of all 16 atoms:
Bi  0.818  0.636  0.431
Bi  0.182  0.364  0.569
Bi  0.182  0.364  0.931
Bi  0.818  0.636  0.069
Pm  0.635  0.271  0.911
Pm  0.944  0.889  0.880
Pm  0.685  0.369  0.250
Pm  0.056  0.111  0.380
Pm  0.315  0.631  0.750
Pm  0.365  0.729  0.411
Pm  0.635  0.271  0.589
Pm  0.056  0.111  0.120
Pm  0.365  0.729  0.089
Pm  0.944  0.889  0.620
Ge  0.776  0.551  0.750
Ge  0.224  0.449  0.250

***

(2)
An optimized crystal structure of Pm5GeBi. Source: Alexandria via LeMat-Bulk, functional PBE.

Values from the calculation:
- space-group type = C2/c (15)
- energy (eV/atom) = -4.94
- formation energy (eV per formula unit) = -2.33

a b c (Å): 6.567 6.567 11.653
angles (deg): 78.86 78.86 65.24
Fractional coordinates of all 14 atoms:
Bi  0.454  0.546  0.250
Bi  0.546  0.454  0.750
Pm  0.952  0.048  0.250
Pm  0.516  0.231  0.035
Pm  0.042  0.405  0.852
Pm  0.958  0.595  0.148
Pm  0.769  0.484  0.465
Pm  0.484  0.769  0.965
Pm  0.048  0.952  0.750
Pm  0.405  0.042  0.352
Pm  0.595  0.958  0.648
Pm  0.231  0.516  0.535
Ge  0.000  0.000  0.000
Ge  0.000  0.000  0.500

***

(3)
An optimized crystal structure of Pm4GeBi3. Source: Alexandria via LeMat-Bulk, functional PBE.

Values from the calculation:
- relative energy among the computed polymorphs (eV/f.u.) = 0.204
- space-group type = Pm-3m (221)
- energy (eV/atom) = -5.24
- formation energy (eV per formula unit) = -6.69

a b c (Å): 6.374 6.374 6.374
angles (deg): 90.00 90.00 90.00
Fractional coordinates of all 8 atoms:
Ge  0.000  0.000  0.000
Pm  0.500  0.500  0.500
Pm  0.500  0.000  0.000
Pm  0.000  0.000  0.500
Pm  0.000  0.500  0.000
Bi  0.500  0.000  0.500
Bi  0.500  0.500  0.000
Bi  0.000  0.500  0.500

***

(4)
An optimized crystal structure of Pm5Ge2Bi2. Source: Alexandria via LeMat-Bulk, functional PBE.

Values from the calculation:
- space-group type = Cmce (64)
- energy (eV/atom) = -5.39
- formation energy (eV per formula unit) = -7.79

a b c (Å): 8.228 8.209 8.905
angles (deg): 117.45 90.00 90.00
Fractional coordinates of all 18 atoms:
Bi  0.500  0.706  0.413
Bi  0.000  0.206  0.413
Bi  0.000  0.794  0.587
Bi  0.500  0.294  0.587
Pm  0.000  0.000  0.000
Pm  0.835  0.791  0.251
Pm  0.335  0.960  0.251
Pm  0.165  0.209  0.749
Pm  0.665  0.040  0.749
Pm  0.500  0.500  0.000
Pm  0.165  0.460  0.251
Pm  0.835  0.540  0.749
Pm  0.335  0.709  0.749
Pm  0.665  0.291  0.251
Ge  0.863  0.363  0.000
Ge  0.137  0.637  0.000
Ge  0.363  0.137  0.000
Ge  0.637  0.863  0.000

***

(5)
An optimized crystal structure of Pm2GeBi2. Source: Alexandria via LeMat-Bulk, functional PBE.

Values from the calculation:
- space-group type = Cmc2_1 (36)
- energy (eV/atom) = -4.96
- formation energy (eV per formula unit) = -2.94

a b c (Å): 4.359 9.366 8.232
angles (deg): 90.00 105.35 90.00
Fractional coordinates of all 10 atoms:
Bi  0.058  0.213  0.117
Bi  0.942  0.713  0.883
Bi  0.247  0.841  0.494
Bi  0.753  0.341  0.506
Ge  0.456  0.125  0.911
Ge  0.544  0.625  0.089
Pm  0.400  0.422  0.800
Pm  0.600  0.922  0.200
Pm  0.849  0.033  0.697
Pm  0.151  0.533  0.303

***

(6)
An optimized crystal structure of PmGe2Bi. Source: Alexandria via LeMat-Bulk, functional PBE.

Values from the calculation:
- relative energy among the computed polymorphs (eV/f.u.) = 0.000
- space-group type = P4/mmm (123)
- energy (eV/atom) = -4.82
- formation energy (eV per formula unit) = -1.42

a b c (Å): 4.292 4.779 4.779
angles (deg): 90.00 90.00 90.00
Fractional coordinates of all 4 atoms:
Ge  0.000  0.500  0.000
Ge  0.000  0.000  0.500
Bi  0.500  0.000  0.000
Pm  0.500  0.500  0.500

***

(7)
An optimized crystal structure of PmGeBi. Source: Alexandria via LeMat-Bulk, functional PBE.

Values from the calculation:
- relative energy among the computed polymorphs (eV/f.u.) = 0.000
- space-group type = Cmcm (63)
- energy (eV/atom) = -5.06
- formation energy (eV per formula unit) = -1.94

a b c (Å): 4.212 4.546 8.790
angles (deg): 104.99 90.00 90.00
Fractional coordinates of all 6 atoms:
Ge  0.750  0.549  0.098
Ge  0.250  0.451  0.902
Bi  0.250  0.748  0.495
Bi  0.750  0.252  0.505
Pm  0.750  0.905  0.810
Pm  0.250  0.095  0.190

***

(8)
An optimized crystal structure of PmGe2Bi2Pt7. Source: Alexandria via LeMat-Bulk, functional PBE.

Values from the calculation:
- space-group type = C2/m (12)
- energy (eV/atom) = -5.87
- formation energy (eV per formula unit) = -6.42

a b c (Å): 4.046 4.046 15.822
angles (deg): 82.68 82.68 89.97
Fractional coordinates of all 12 atoms:
Bi  0.211  0.211  0.578
Bi  0.789  0.789  0.422
Pt  0.302  0.302  0.396
Pt  0.929  0.429  0.144
Pt  0.571  0.071  0.856
Pt  0.698  0.698  0.604
Pt  0.071  0.571  0.856
Pt  0.500  0.500  0.000
Pt  0.429  0.929  0.144
Ge  0.618  0.618  0.762
Ge  0.382  0.382  0.238
Pm  0.000  0.000  0.000

***

(9)
An optimized crystal structure of PmPuGeBi. Source: Alexandria via LeMat-Bulk, functional PBE.

Values from the calculation:
- space-group type = F-43m (216)
- energy (eV/atom) = -7.28
- formation energy (eV per formula unit) = -1.56

a b c (Å): 5.356 5.356 5.356
angles (deg): 60.00 60.00 60.00
Each line ends with the local moment (μB).
Fractional coordinates of all 4 atoms:
Ge  0.000  0.000  0.000  -0.07
Pm  0.250  0.250  0.250  0.12
Pu  0.750  0.750  0.750  5.40
Bi  0.500  0.500  0.500  -0.07

***

(10)
An optimized crystal structure of PmGe2BiRh5. Source: Alexandria via LeMat-Bulk, functional PBE.

Values from the calculation:
- space-group type = P4/mmm (123)
- energy (eV/atom) = -6.41
- formation energy (eV per formula unit) = -3.06

a b c (Å): 4.100 4.100 10.911
angles (deg): 90.00 90.00 90.00
Fractional coordinates of all 9 atoms:
Pm  0.000  0.000  0.500
Bi  0.000  0.000  0.000
Rh  0.000  0.500  0.835
Rh  0.500  0.000  0.835
Rh  0.500  0.000  0.165
Rh  0.000  0.500  0.165
Rh  0.500  0.500  0.500
Ge  0.500  0.500  0.282
Ge  0.500  0.500  0.718

***

(11)
An optimized crystal structure of Pm2Ge3BiRh4. Source: Alexandria via LeMat-Bulk, functional PBE.

Values from the calculation:
- space-group type = P-4m2 (115)
- energy (eV/atom) = -6.40
- formation energy (eV per formula unit) = -7.36

a b c (Å): 4.275 4.275 10.717
angles (deg): 90.00 90.00 90.00
Fractional coordinates of all 10 atoms:
Ge  0.500  0.000  0.878
Ge  0.000  0.000  0.500
Ge  0.000  0.500  0.122
Rh  0.000  0.000  0.000
Rh  0.500  0.000  0.652
Rh  0.000  0.500  0.348
Rh  0.500  0.500  0.000
Bi  0.500  0.500  0.500
Pm  0.500  0.000  0.238
Pm  0.000  0.500  0.762

***

(12)
An optimized crystal structure of Pm6Ge3BiS2. Source: Alexandria via LeMat-Bulk, functional PBE.

Values from the calculation:
- ΔE_f (raw) (eV/atom) = -1.2157
- space-group type = C2/m (12)
- energy (eV/atom) = -5.76

a b c (Å): 4.215 8.602 9.507
angles (deg): 103.08 102.81 90.00
Fractional coordinates of all 12 atoms:
Pm  0.668  0.582  0.335
Pm  0.996  0.732  0.992
Pm  0.326  0.909  0.651
Pm  0.004  0.268  0.008
Pm  0.332  0.418  0.665
Pm  0.674  0.091  0.349
Ge  0.164  0.831  0.329
Ge  0.836  0.169  0.671
Ge  0.500  0.500  0.000
S  0.169  0.338  0.339
S  0.831  0.662  0.661
Bi  0.500  0.000  0.000

***

| no. | magnetic moment (μB/f.u.) |
| --- | --- |
| 1 | 0.0 |
| 2 | 0.0 |
| 3 | 0.0 |
| 4 | 0.0 |
| 5 | 0.0 |
| 6 | 0.0 |
| 7 | 0.0 |
| 8 | 0.0 |
| 9 | 5.7 |
| 10 | 0.0 |
| 11 | 0.0 |
| 12 | 0.0 |